# HfInPd2 PBE optimized geometry
data_HfInPd2
_chemical_formula_sum 'Hf4 In4 Pd8'
_symmetry_space_group_name_H-M 'F -4 3 m'
_symmetry_Int_Tables_number 216
_symmetry_space_group_name_Hall 'F -4 2 3'
_cell_length_a 6.5807
_cell_length_b 6.5807
_cell_length_c 6.5807
_cell_angle_alpha 90.00
_cell_angle_beta 90.00
_cell_angle_gamma 90.00
loop_
_atom_site_label
_atom_site_type_symbol
_atom_site_fract_x
_atom_site_fract_y
_atom_site_fract_z
Hf1 Hf 0.0000 0.0000 0.0000
In1 In 0.2500 0.2500 0.7500
Pd1 Pd 0.0000 0.0000 0.5000
Pd2 Pd 0.2500 0.2500 0.2500
# **DFT total energy**: -98.78 eV for the cell shown